[1]
Entry from Alexandria via LeMat-Bulk: crystalline TbDy2Si2 at its relaxed geometry (GGA-PBE).

## Properties
The calculation puts the formation energy from raw total energies at -3.5 eV/f.u. Its relative energy among the computed polymorphs is 0.0 meV per atom. Its space-group type is P4/mbm (127). The total magnetization comes out at 0.000 μB/f.u.

The structure in extended XYZ format:
```
10
Lattice="-2.330 -3.258 1.286 3.281 -4.377 -5.144 5.322 -1.846 4.966" Properties=species:S:1:pos:R:3 pbc="T T T"
Si 4.132 -5.461 0.533
Si 2.352 -5.713 -3.331
Si 2.140 -4.020 0.575
Si 3.920 -3.768 4.439
Dy 4.661 -2.666 1.691
Dy 3.942 -3.557 -1.869
Dy 7.088 -5.128 -0.147
Dy 1.514 -1.096 -0.031
Tb 0.475 -3.818 -1.929
Tb 1.496 -2.552 3.126
```

---

[2]
Entry from Alexandria via LeMat-Bulk: crystalline TbDySi3 at its relaxed geometry (GGA-PBE).

## Properties
The calculation puts the formation energy from raw total energies at -3.4 eV/f.u. Its space-group type is Cmcm (63). The total magnetization comes out at 0.000 μB/f.u.

The structure in extended XYZ format:
```
10
Lattice="3.949 0.000 0.000 0.000 4.068 -0.778 0.000 0.271 12.441" Properties=species:S:1:pos:R:3 pbc="T T T"
Si 2.961 1.486 7.771
Si 0.987 2.853 3.893
Si 2.961 2.149 0.211
Si 0.987 2.190 11.453
Si 2.961 2.584 2.488
Si 0.987 1.755 9.176
Tb 0.987 0.321 1.679
Tb 2.961 4.018 9.985
Dy 2.961 0.934 4.887
Dy 0.987 3.404 6.777
```

---

[3]
Entry from Alexandria via LeMat-Bulk: crystalline TbDy3Si4 at its relaxed geometry (GGA-PBE).

## Properties
The calculation puts the formation energy from raw total energies at -4.4 eV/f.u. Its space-group type is Immm (71). The total magnetization comes out at 0.000 μB/f.u.

The structure in extended XYZ format:
```
8
Lattice="3.966 0.000 0.000 0.000 6.225 -0.728 -1.983 -2.207 8.107" Properties=species:S:1:pos:R:3 pbc="T T T"
Si 1.983 4.505 1.543
Si 0.000 1.820 5.566
Si 0.000 -0.487 5.836
Si 1.983 2.198 1.814
Dy 0.000 0.352 3.010
Dy 0.000 3.112 -0.364
Dy 1.983 3.666 4.369
Tb 1.983 0.000 0.000
```

---

[4]
Entry from Alexandria via LeMat-Bulk: crystalline Tb2DySi at its relaxed geometry (GGA-PBE).

## Properties
The calculation puts the formation energy from raw total energies at 0.1 eV/f.u. Its relative energy among the computed polymorphs is 291.2 meV per atom. Its space-group type is R-3m (166). The total magnetization comes out at 0.756 μB/f.u.

The structure in extended XYZ format:
```
4
Lattice="-3.345 -1.297 0.006 -1.290 -1.650 -2.913 2.123 -10.422 2.755" Properties=species:S:1:pos:R:3 pbc="T T T"
Dy 0.000 0.000 0.000
Si -1.256 -6.685 -0.076
Tb -3.462 -5.965 -1.716
Tb 0.950 -7.405 1.565
```

---

[5]
Entry from Alexandria via LeMat-Bulk: crystalline Dy2Si5Tc3 at its relaxed geometry (GGA-PBE).

## Properties
The calculation puts the formation energy from raw total energies at -6.8 eV/f.u. Its space-group type is Ibam (72). The total magnetization comes out at 0.005 μB/f.u.

The structure in extended XYZ format:
```
20
Lattice="-2.880 -3.964 -2.643 -2.695 -5.653 5.551 -8.180 1.125 1.362" Properties=species:S:1:pos:R:3 pbc="T T T"
Tc -2.160 -2.973 -1.983
Tc -0.720 -0.991 -0.661
Tc -8.535 -3.756 3.205
Tc -5.220 -4.736 1.064
Tc -4.710 -1.605 1.676
Tc -9.046 -6.887 2.594
Si -6.158 -3.255 2.796
Si -6.413 -0.030 1.169
Si -7.342 -8.462 3.100
Si -9.428 -2.123 1.730
Si -7.598 -5.237 1.474
Si -3.803 -3.089 -0.019
Si -2.363 -1.107 1.303
Si -11.392 -7.385 2.967
Si -9.952 -5.403 4.288
Si -4.328 -6.369 2.540
Dy -6.637 -5.935 4.406
Dy -3.066 -3.803 3.180
Dy -7.118 -2.557 -0.136
Dy -10.689 -4.689 1.089
```

---

[6]
Entry from Alexandria via LeMat-Bulk: crystalline DySi2Tc3 at its relaxed geometry (GGA-PBE).

## Properties
The calculation puts the formation energy from raw total energies at -3.0 eV/f.u. Its space-group type is C2/m (12). The total magnetization comes out at 0.000 μB/f.u.

The structure in extended XYZ format:
```
18
Lattice="4.120 0.000 0.000 -2.060 7.698 -2.279 0.000 0.198 9.451" Properties=species:S:1:pos:R:3 pbc="T T T"
Dy 0.000 0.000 0.000
Dy 0.000 2.607 6.103
Dy 2.060 5.289 1.070
Tc 2.060 2.862 8.565
Tc 2.060 1.942 1.466
Tc 0.000 5.953 5.706
Tc 0.000 3.155 2.715
Tc 0.000 5.033 -1.393
Tc 2.060 7.225 3.897
Tc 2.060 4.741 4.458
Tc 0.000 0.671 3.275
Tc 2.060 0.099 4.726
Si 0.000 7.186 -0.116
Si 0.000 3.149 0.262
Si 2.060 2.413 3.919
Si 0.000 5.483 3.253
Si 2.060 4.746 6.910
Si 2.060 0.710 7.288
```

---

Please write out number 4 again, unchanged.
Entry from Alexandria via LeMat-Bulk: crystalline Tb2DySi at its relaxed geometry (GGA-PBE).

## Properties
The calculation puts the formation energy from raw total energies at 0.1 eV/f.u. Its relative energy among the computed polymorphs is 291.2 meV per atom. Its space-group type is R-3m (166). The total magnetization comes out at 0.756 μB/f.u.

The structure in extended XYZ format:
```
4
Lattice="-3.345 -1.297 0.006 -1.290 -1.650 -2.913 2.123 -10.422 2.755" Properties=species:S:1:pos:R:3 pbc="T T T"
Dy 0.000 0.000 0.000
Si -1.256 -6.685 -0.076
Tb -3.462 -5.965 -1.716
Tb 0.950 -7.405 1.565
```

---

Which value of formation energy from raw total energies does entry 3 give? -4.4 eV/f.u.

---

What is the formation energy from raw total energies in the fourth record? 0.1 eV/f.u.